(1)
# DyTcPd, relaxed, DFT PBE
# Energy relative to the lowest polymorph listed for this composition: 425 meV per atom
# DFT formation energy: 2.1 eV per formula unit
# SG: F-43m (216)
# Energy: -0.2210 hartree per atom
data_DyTcPd
_cell_length_a 4.544
_cell_length_b 4.544
_cell_length_c 4.544
_cell_angle_alpha 60.00
_cell_angle_beta 60.00
_cell_angle_gamma 60.00
_symmetry_space_group_name_H-M 'P 1'
_symmetry_Int_Tables_number 1
loop_
_symmetry_equiv_pos_as_xyz
'x,y,z'
loop_
_atom_site_label
_atom_site_type_symbol
_atom_site_fract_x
_atom_site_fract_y
_atom_site_fract_z
Pd1 Pd 0.250 0.250 0.250
Tc1 Tc 0.750 0.750 0.750
Dy1 Dy 0.000 0.000 0.000

(2)
# BeGaFeCu, relaxed, DFT PBE
# Energy relative to the lowest polymorph listed for this composition: 103 meV per atom
# SG: F-43m (216)
# Energy: -0.1691 hartree per atom
data_BeGaFeCu
_cell_length_a 4.035
_cell_length_b 4.035
_cell_length_c 4.035
_cell_angle_alpha 60.00
_cell_angle_beta 60.00
_cell_angle_gamma 60.00
_symmetry_space_group_name_H-M 'P 1'
_symmetry_Int_Tables_number 1
loop_
_symmetry_equiv_pos_as_xyz
'x,y,z'
loop_
_atom_site_label
_atom_site_type_symbol
_atom_site_fract_x
_atom_site_fract_y
_atom_site_fract_z
Fe1 Fe 0.750 0.750 0.750
Be1 Be 0.250 0.250 0.250
Ga1 Ga 0.000 0.000 0.000
Cu1 Cu 0.500 0.500 0.500

(3)
# TmC2, relaxed, DFT PBE
# Energy relative to the lowest polymorph listed for this composition: 1972 meV per atom
# SG: Fd-3m (227)
# Energy: -0.2156 hartree per atom
data_TmC2
_cell_length_a 4.534
_cell_length_b 4.534
_cell_length_c 4.534
_cell_angle_alpha 60.00
_cell_angle_beta 60.00
_cell_angle_gamma 60.00
_symmetry_space_group_name_H-M 'P 1'
_symmetry_Int_Tables_number 1
loop_
_symmetry_equiv_pos_as_xyz
'x,y,z'
loop_
_atom_site_label
_atom_site_type_symbol
_atom_site_fract_x
_atom_site_fract_y
_atom_site_fract_z
C1 C 0.125 0.625 0.625
C2 C 0.625 0.625 0.625
C3 C 0.625 0.625 0.125
C4 C 0.625 0.125 0.625
Tm1 Tm 0.000 0.000 0.000
Tm2 Tm 0.250 0.250 0.250

Question: energy relative to the lowest polymorph listed for this composition of number 2 (BeGaFeCu)?
Answer: 103 meV per atom